No. 1
Computed, not measured: a relaxed structure of SrZnRh at the PBE level of DFT.

Computed properties:
Space-group type = Imma

Lattice parameters (Å, degrees): 5.4970 5.4970 5.4970 119.41 115.60 94.41
Fractional positions:
Sr: 0.3844 0.1344 0.2500
Sr: 0.6156 0.8656 0.7500
Zn: 0.0000 0.0000 0.5000
Zn: 0.0000 0.5000 0.0000
Rh: 0.0000 0.5000 0.5000
Rh: 0.5000 0.5000 0.0000

=====

No. 2
Computed, not measured: a relaxed structure of Sr2Zn5Rh4 at the PBE level of DFT.

Computed properties:
Space-group type = Fmmm

Lattice parameters (Å, degrees): 9.1853 8.2851 5.6382 80.10 62.69 37.21
Fractional positions:
Sr: 0.1426 0.1426 0.8574
Sr: 0.8574 0.8574 0.1426
Zn: 0.0000 0.0000 0.5000
Zn: 0.2500 0.2500 0.2500
Zn: 0.5000 0.5000 0.0000
Zn: 0.5000 0.5000 0.5000
Zn: 0.7500 0.7500 0.7500
Rh: 0.2082 0.5400 0.4600
Rh: 0.4600 0.7918 0.2082
Rh: 0.5400 0.2082 0.7918
Rh: 0.7918 0.4600 0.5400

=====

No. 3
Computed, not measured: a relaxed structure of SrZnRh2 at the PBE level of DFT.

Computed properties:
Space-group type = Cm

Lattice parameters (Å, degrees): 5.5171 5.5171 5.2489 113.46 113.46 32.90
Fractional positions:
Sr: 0.0000 0.0000 0.0000
Zn: 0.8018 0.8018 0.3047
Rh: 0.2288 0.2288 0.6013
Rh: 0.5134 0.5134 0.5300

=====

No. 4
Computed, not measured: a relaxed structure of SrZn2Rh at the PBE level of DFT.

Computed properties:
Space-group type = C2/m

Lattice parameters (Å, degrees): 4.3439 4.3439 5.9831 111.36 111.36 60.07
Fractional positions:
Sr: 0.0000 0.0000 0.0000
Zn: 0.1987 0.1987 0.5962
Zn: 0.8013 0.8013 0.4038
Rh: 0.5000 0.5000 0.5000

=====

Sequential DFT total energy output: -0.2780, -0.2847, -0.3282, -0.2399 Ry per atom
Sequential ΔE_f output: -1.04, -3.46, -0.20, -1.47 eV per formula unit